Entry from Alexandria via LeMat-Bulk: GeAsSe2Cl after structural relaxation (PBE).

Structure (CIF):
```
data_GeAsSe2Cl
_space_group_name_H-M_alt 'P 1'
_space_group_IT_number 1
_space_group_name_Hall 'P 1'
_cell_length_a 4.9137
_cell_length_b 4.9137
_cell_length_c 5.2544
_cell_angle_alpha 90.00
_cell_angle_beta 90.00
_cell_angle_gamma 90.00
loop_
_atom_site_label
_atom_site_type_symbol
_atom_site_fract_x
_atom_site_fract_y
_atom_site_fract_z
As1 As 0.0000 0.0000 0.5000
Ge1 Ge 0.0000 0.0000 0.0000
Cl1 Cl 0.5000 0.5000 0.5000
Se1 Se 0.5000 0.0000 0.0000
Se2 Se 0.0000 0.5000 0.0000
```

Results
The formation energy without anion corrections comes out at 13.37 kcal/mol of atoms. Its distance to the lowest polymorph of the same formula is 0.0 meV/atom. The energy comes out at -3.04 eV per atom. The value obtained for the density of states at the Fermi level is 5.1 states/eV per cell.

=====

Entry from Alexandria via LeMat-Bulk: GeAsSe2Cl after structural relaxation (PBE).

Structure (CIF):
```
data_GeAsSe2Cl
_space_group_name_H-M_alt 'P 1'
_space_group_IT_number 1
_space_group_name_Hall 'P 1'
_cell_length_a 5.1707
_cell_length_b 5.1707
_cell_length_c 4.7037
_cell_angle_alpha 90.00
_cell_angle_beta 90.00
_cell_angle_gamma 90.00
loop_
_atom_site_label
_atom_site_type_symbol
_atom_site_fract_x
_atom_site_fract_y
_atom_site_fract_z
As1 As 0.0000 0.0000 0.5000
Cl1 Cl 0.0000 0.0000 0.0000
Ge1 Ge 0.5000 0.5000 0.5000
Se1 Se 0.5000 0.0000 0.0000
Se2 Se 0.0000 0.5000 0.0000
```

Results
The formation energy without anion corrections comes out at 21.55 kcal/mol of atoms. Its distance to the lowest polymorph of the same formula is 354.7 meV/atom. The energy comes out at -2.68 eV per atom. The value obtained for the density of states at the Fermi level is 8.0 states/eV per cell.

=====

Entry from Alexandria via LeMat-Bulk: Sm4GeAsCl2 after structural relaxation (PBE).

Structure (CIF):
```
data_Sm4GeAsCl2
_space_group_name_H-M_alt 'P 1'
_space_group_IT_number 1
_space_group_name_Hall 'P 1'
_cell_length_a 4.2100
_cell_length_b 7.1866
_cell_length_c 7.3021
_cell_angle_alpha 70.23
_cell_angle_beta 90.00
_cell_angle_gamma 90.00
loop_
_atom_site_label
_atom_site_type_symbol
_atom_site_fract_x
_atom_site_fract_y
_atom_site_fract_z
Sm1 Sm 0.0000 0.2731 0.2398
Sm2 Sm 0.5000 0.7258 0.2552
Sm3 Sm 0.5000 0.2742 0.7448
Sm4 Sm 0.0000 0.7269 0.7602
As1 As 0.0000 0.5000 0.5000
Cl1 Cl 0.0000 0.0000 0.0000
Cl2 Cl 0.5000 0.0000 0.5000
Ge1 Ge 0.5000 0.5000 0.0000
```

Results
The formation energy without anion corrections comes out at -31.69 kcal/mol of atoms. The energy comes out at -5.35 eV per atom. The value obtained for the density of states at the Fermi level is 4.0 states/eV per cell.

=====

Entry from Alexandria via LeMat-Bulk: Sm4GeAs2Cl after structural relaxation (PBE).

Structure (CIF):
```
data_Sm4GeAs2Cl
_space_group_name_H-M_alt 'P 1'
_space_group_IT_number 1
_space_group_name_Hall 'P 1'
_cell_length_a 4.2099
_cell_length_b 7.2547
_cell_length_c 7.2538
_cell_angle_alpha 70.83
_cell_angle_beta 90.00
_cell_angle_gamma 90.00
loop_
_atom_site_label
_atom_site_type_symbol
_atom_site_fract_x
_atom_site_fract_y
_atom_site_fract_z
Sm1 Sm 0.5000 0.2476 0.7447
Sm2 Sm 0.5000 0.7524 0.2553
Sm3 Sm 0.0000 0.2378 0.2651
Sm4 Sm 0.0000 0.7622 0.7349
As1 As 0.0000 0.0000 0.0000
As2 As 0.5000 0.0000 0.5000
Cl1 Cl 0.5000 0.5000 0.0000
Ge1 Ge 0.0000 0.5000 0.5000
```

Results
The formation energy without anion corrections comes out at -32.44 kcal/mol of atoms. The energy comes out at -5.74 eV per atom. The value obtained for the density of states at the Fermi level is 2.2 states/eV per cell.

=====

Entry from Alexandria via LeMat-Bulk: TcGeAs2Cl after structural relaxation (PBE).

Structure (CIF):
```
data_TcGeAs2Cl
_space_group_name_H-M_alt 'P 1'
_space_group_IT_number 1
_space_group_name_Hall 'P 1'
_cell_length_a 4.7691
_cell_length_b 5.0375
_cell_length_c 4.7691
_cell_angle_alpha 90.00
_cell_angle_beta 90.00
_cell_angle_gamma 90.00
loop_
_atom_site_label
_atom_site_type_symbol
_atom_site_fract_x
_atom_site_fract_y
_atom_site_fract_z
Cl1 Cl 0.0000 0.5000 0.0000
As1 As 0.5000 0.0000 0.0000
As2 As 0.0000 0.0000 0.5000
Ge1 Ge 0.5000 0.5000 0.5000
Tc1 Tc 0.0000 0.0000 0.0000
```

Results
The formation energy without anion corrections comes out at 10.43 kcal/mol of atoms. The energy comes out at -4.77 eV per atom. The value obtained for the density of states at the Fermi level is 3.1 states/eV per cell.

=====

Entry from Alexandria via LeMat-Bulk: GeTe2AsCl after structural relaxation (PBE).

Structure (CIF):
```
data_GeTe2AsCl
_space_group_name_H-M_alt 'P 1'
_space_group_IT_number 1
_space_group_name_Hall 'P 1'
_cell_length_a 5.5351
_cell_length_b 4.8467
_cell_length_c 5.5351
_cell_angle_alpha 90.00
_cell_angle_beta 90.00
_cell_angle_gamma 90.00
loop_
_atom_site_label
_atom_site_type_symbol
_atom_site_fract_x
_atom_site_fract_y
_atom_site_fract_z
Ge1 Ge 0.0000 0.5000 0.0000
Te1 Te 0.5000 0.0000 0.0000
Te2 Te 0.0000 0.0000 0.5000
As1 As 0.5000 0.5000 0.5000
Cl1 Cl 0.0000 0.0000 0.0000
```

Results
The formation energy without anion corrections comes out at 21.73 kcal/mol of atoms. The energy comes out at -2.54 eV per atom. The value obtained for the density of states at the Fermi level is 5.7 states/eV per cell.

=====

Entry from Alexandria via LeMat-Bulk: TlGeAs2Cl after structural relaxation (PBE).

Structure (CIF):
```
data_TlGeAs2Cl
_space_group_name_H-M_alt 'P 1'
_space_group_IT_number 1
_space_group_name_Hall 'P 1'
_cell_length_a 5.0161
_cell_length_b 5.4522
_cell_length_c 5.0161
_cell_angle_alpha 90.00
_cell_angle_beta 90.00
_cell_angle_gamma 90.00
loop_
_atom_site_label
_atom_site_type_symbol
_atom_site_fract_x
_atom_site_fract_y
_atom_site_fract_z
Cl1 Cl 0.0000 0.5000 0.0000
Tl1 Tl 0.5000 0.5000 0.5000
As1 As 0.5000 0.0000 0.0000
As2 As 0.0000 0.0000 0.5000
Ge1 Ge 0.0000 0.0000 0.0000
```

Results
The formation energy without anion corrections comes out at 4.99 kcal/mol of atoms. The energy comes out at -3.41 eV per atom. The value obtained for the density of states at the Fermi level is 3.8 states/eV per cell.

=====

Entry from Alexandria via LeMat-Bulk: As2HCl6 after structural relaxation (PBE).

Structure (CIF):
```
data_As2HCl6
_space_group_name_H-M_alt 'P 1'
_space_group_IT_number 1
_space_group_name_Hall 'P 1'
_cell_length_a 7.6073
_cell_length_b 9.2574
_cell_length_c 9.2574
_cell_angle_alpha 84.18
_cell_angle_beta 77.55
_cell_angle_gamma 77.55
loop_
_atom_site_label
_atom_site_type_symbol
_atom_site_fract_x
_atom_site_fract_y
_atom_site_fract_z
Cl1 Cl 0.9481 0.4348 0.3229
Cl2 Cl 0.7616 0.3769 0.0388
Cl3 Cl 0.3617 0.2357 0.9228
Cl4 Cl 0.7384 0.9612 0.6231
Cl5 Cl 0.2384 0.6231 0.9612
Cl6 Cl 0.6383 0.7643 0.0772
Cl7 Cl 0.0519 0.5652 0.6771
Cl8 Cl 0.2616 0.0388 0.3769
Cl9 Cl 0.4481 0.3229 0.4348
Cl10 Cl 0.1383 0.0772 0.7643
Cl11 Cl 0.8617 0.9228 0.2357
Cl12 Cl 0.5519 0.6771 0.5652
H1 H 0.2500 0.1578 0.8422
H2 H 0.7500 0.8422 0.1578
As1 As 0.1860 0.2306 0.5114
As2 As 0.6860 0.5114 0.2306
As3 As 0.3140 0.4886 0.7694
As4 As 0.8140 0.7694 0.4886
```

Results
The energy comes out at -3.09 eV per atom. The value obtained for the density of states at the Fermi level is 6.5 states/eV per cell.

=====

Entry from Alexandria via LeMat-Bulk: AsH4Cl3 after structural relaxation (PBE).

Structure (CIF):
```
data_AsH4Cl3
_space_group_name_H-M_alt 'P 1'
_space_group_IT_number 1
_space_group_name_Hall 'P 1'
_cell_length_a 6.7349
_cell_length_b 8.6474
_cell_length_c 8.1140
_cell_angle_alpha 90.00
_cell_angle_beta 90.00
_cell_angle_gamma 90.00
loop_
_atom_site_label
_atom_site_type_symbol
_atom_site_fract_x
_atom_site_fract_y
_atom_site_fract_z
H1 H 0.6290 0.8771 0.3634
H2 H 0.4543 0.0526 0.5000
H3 H 0.2004 0.7157 0.5000
H4 H 0.7004 0.2843 0.0000
H5 H 0.1290 0.1229 0.1366
H6 H 0.1290 0.1229 0.8634
H7 H 0.6290 0.8771 0.6366
H8 H 0.9543 0.9474 0.0000
Cl1 Cl 0.5403 0.3749 0.0000
Cl2 Cl 0.0403 0.6251 0.5000
Cl3 Cl 0.0449 0.6031 0.8753
Cl4 Cl 0.5449 0.3969 0.3753
Cl5 Cl 0.5449 0.3969 0.6247
Cl6 Cl 0.0449 0.6031 0.1247
As1 As 0.4724 0.8760 0.5000
As2 As 0.9724 0.1240 0.0000
```

Results
The energy comes out at -3.05 eV per atom. The value obtained for the density of states at the Fermi level is 0.0 states/eV per cell.

=====

Entry from Alexandria via LeMat-Bulk: AsH6Cl3 after structural relaxation (PBE).

Structure (CIF):
```
data_AsH6Cl3
_space_group_name_H-M_alt 'P 1'
_space_group_IT_number 1
_space_group_name_Hall 'P 1'
_cell_length_a 5.2909
_cell_length_b 4.6267
_cell_length_c 11.6566
_cell_angle_alpha 90.00
_cell_angle_beta 71.36
_cell_angle_gamma 90.00
loop_
_atom_site_label
_atom_site_type_symbol
_atom_site_fract_x
_atom_site_fract_y
_atom_site_fract_z
Cl1 Cl 0.9940 0.6134 0.7547
Cl2 Cl 0.5060 0.1134 0.7453
Cl3 Cl 0.0000 0.0000 0.5000
Cl4 Cl 0.5000 0.5000 0.0000
Cl5 Cl 0.4940 0.8866 0.2547
Cl6 Cl 0.0060 0.3866 0.2453
H1 H 0.7327 0.8696 0.1390
H2 H 0.0225 0.2025 0.1214
H3 H 0.7564 0.2472 0.9921
H4 H 0.4775 0.7025 0.3786
H5 H 0.7673 0.3696 0.3610
H6 H 0.9775 0.7975 0.8786
H7 H 0.2673 0.1304 0.8610
H8 H 0.2436 0.7528 0.0079
H9 H 0.2327 0.6304 0.6390
H10 H 0.7436 0.7472 0.5079
H11 H 0.2564 0.2528 0.4921
H12 H 0.5225 0.2975 0.6214
As1 As 0.0000 0.0000 0.0000
As2 As 0.5000 0.5000 0.5000
```

Results
The energy comes out at -2.91 eV per atom. The value obtained for the density of states at the Fermi level is 0.8 states/eV per cell.

=====

Entry from Alexandria via LeMat-Bulk: AsHCl2 after structural relaxation (PBE).

Structure (CIF):
```
data_AsHCl2
_space_group_name_H-M_alt 'P 1'
_space_group_IT_number 1
_space_group_name_Hall 'P 1'
_cell_length_a 7.8158
_cell_length_b 7.8158
_cell_length_c 7.8158
_cell_angle_alpha 24.71
_cell_angle_beta 24.71
_cell_angle_gamma 24.71
loop_
_atom_site_label
_atom_site_type_symbol
_atom_site_fract_x
_atom_site_fract_y
_atom_site_fract_z
Cl1 Cl 0.9312 0.9312 0.9312
Cl2 Cl 0.0688 0.0688 0.0688
H1 H 0.0000 0.0000 0.0000
As1 As 0.5000 0.5000 0.5000
```

Results
Its distance to the lowest polymorph of the same formula is 0.0 meV/atom. The energy comes out at -2.84 eV per atom. The value obtained for the density of states at the Fermi level is 1.2 states/eV per cell.

=====

Entry from Alexandria via LeMat-Bulk: AsHCl6 after structural relaxation (PBE).

Structure (CIF):
```
data_AsHCl6
_space_group_name_H-M_alt 'P 1'
_space_group_IT_number 1
_space_group_name_Hall 'P 1'
_cell_length_a 6.7765
_cell_length_b 6.9448
_cell_length_c 10.5199
_cell_angle_alpha 46.25
_cell_angle_beta 43.37
_cell_angle_gamma 65.13
loop_
_atom_site_label
_atom_site_type_symbol
_atom_site_fract_x
_atom_site_fract_y
_atom_site_fract_z
As1 As 0.0000 0.0000 0.0000
Cl1 Cl 0.5817 0.1431 0.1764
Cl2 Cl 0.2631 0.4348 0.7473
Cl3 Cl 0.9788 0.1543 0.7407
Cl4 Cl 0.0212 0.8457 0.2593
Cl5 Cl 0.7369 0.5652 0.2527
Cl6 Cl 0.4183 0.8569 0.8236
H1 H 0.5000 0.5000 0.5000
```

Results
The energy comes out at -2.77 eV per atom.